# Sm8Y3Er3 | Alexandria | PBE-GGA | optimized geometry
# DFT total energy: -4.9587 eV/atom
# D(E_F): 19.21 states/eV/cell
# E_form: 2.33 kcal/mol of atoms
data_Sm8Y3Er3
_space_group_name_H-M_alt 'P 1'
_space_group_IT_number 1
_cell_length_a 5.649
_cell_length_b 9.707
_cell_length_c 9.707
_cell_angle_alpha 101.67
_cell_angle_beta 73.08
_cell_angle_gamma 73.08
loop_
_space_group_symop_operation_xyz
'x,y,z'
loop_
_atom_site_label
_atom_site_type_symbol
_atom_site_fract_x
_atom_site_fract_y
_atom_site_fract_z
Y1 Y 0.000 0.179 0.821
Y2 Y 0.000 0.821 0.179
Er1 Er 0.500 0.500 0.500
Sm1 Sm 0.161 0.442 0.235
Sm2 Sm 0.658 0.119 0.565
Sm3 Sm 0.839 0.558 0.765
Sm4 Sm 0.342 0.881 0.435
Er2 Er 0.798 0.202 0.202
Er3 Er 0.202 0.798 0.798
Y3 Y 0.500 0.000 0.000
Sm5 Sm 0.658 0.565 0.119
Sm6 Sm 0.342 0.435 0.881
Sm7 Sm 0.161 0.235 0.442
Sm8 Sm 0.839 0.765 0.558